# 1
A relaxed structure of Ba2Hg2Pd. Source: the Alexandria database, functional PBE.

DFT total energy   -24.7 eV for the cell shown
Relative energy among the computed polymorphs   0.000 eV/atom
Space-group type   No. 12
Formation enthalpy at 0 K   -545 meV/atom

```
Ba2Hg2Pd
1.0
-1.721 4.205 0.643
-6.427 -0.381 1.663
2.054 1.548 11.743
Hg Pd Ba
4 2 4
Direct
0.642 0.841 0.875
0.358 0.159 0.125
0.045 0.319 0.590
0.955 0.681 0.410
0.415 0.861 0.309
0.585 0.139 0.691
0.920 0.274 0.886
0.080 0.726 0.114
0.697 0.244 0.362
0.303 0.756 0.638
```

---

# 2
A relaxed structure of BaHg2Pd6. Source: the Alexandria database, functional PBE.

DFT total energy   -64.2 eV for the cell shown
Space-group type   No. 227
Formation enthalpy at 0 K   174 meV/atom

```
BaHg2Pd6
1.0
8.469 0.000 0.000
4.235 7.335 0.000
4.235 2.445 6.915
Pd Ba Hg
12 2 4
Direct
0.261 0.261 0.739
0.989 0.511 0.511
0.739 0.261 0.739
0.989 0.989 0.511
0.511 0.989 0.511
0.989 0.511 0.989
0.511 0.989 0.989
0.739 0.261 0.261
0.261 0.739 0.261
0.511 0.511 0.989
0.739 0.739 0.261
0.261 0.739 0.739
0.500 0.500 0.500
0.750 0.750 0.750
0.125 0.625 0.125
0.125 0.125 0.125
0.625 0.125 0.125
0.125 0.125 0.625
```

---

# 3
A relaxed structure of Ba5Hg4Pd. Source: the Alexandria database, functional PBE.

DFT total energy   -21.0 eV for the cell shown
Space-group type   No. 123
Formation enthalpy at 0 K   -502 meV/atom

```
Ba5Hg4Pd
1.0
-3.539 -1.716 1.203
-0.442 -1.697 -3.721
10.486 -17.051 6.529
Hg Ba Pd
4 5 1
Direct
0.000 0.000 0.193
0.000 0.000 0.807
0.000 0.000 0.397
0.000 0.000 0.603
0.500 0.500 0.089
0.500 0.500 0.911
0.500 0.500 0.705
0.500 0.500 0.500
0.500 0.500 0.295
0.000 0.000 0.000
```

---

# 4
A relaxed structure of BaHg4Pd4. Source: the Alexandria database, functional PBE.

DFT total energy   -51.2 eV for the cell shown
Space-group type   No. 86
Formation enthalpy at 0 K   -191 meV/atom

```
BaHg4Pd4
1.0
5.475 0.000 0.000
0.000 9.121 0.000
0.000 0.000 9.121
Pd Hg Ba
8 8 2
Direct
0.106 0.845 0.671
0.394 0.345 0.171
0.606 0.171 0.655
0.606 0.829 0.345
0.394 0.655 0.829
0.894 0.671 0.155
0.894 0.329 0.845
0.106 0.155 0.329
0.104 0.153 0.631
0.396 0.347 0.869
0.604 0.131 0.347
0.104 0.847 0.369
0.896 0.631 0.847
0.896 0.369 0.153
0.604 0.869 0.653
0.396 0.653 0.131
0.000 0.000 0.000
0.500 0.500 0.500
```